First-principles (PBE-GGA) data for a geometry-optimized K2HfS structure, as listed in Alexandria via LeMat-Bulk.

Lattice parameters (Å, degrees): 12.104 12.104 4.863 90.00 90.00 90.00
Space group I-42d (No. 122)
Inequivalent atoms, fractional coordinates:
K1 0.096 0.250 0.125 (multiplicity 8)
Hf1 0.000 0.000 0.500 (multiplicity 4)
S1 0.000 0.000 0.000 (multiplicity 4)

Results
**Total magnetization**: 6.79 μB/cell
**E**: -4.088 eV per atom